Entry 1:
DFT (PBE-GGA) results for a relaxed ScAsPSe2 crystal.

Summary:
total energy = -4.30 eV/atom
density = 3.83 g/cm³
total magnetization = 0.89 μB/f.u.
V = 134 Å³ per cell

Cell: 5.048 5.048 5.255 Å, 90.00 90.00 90.00°
Each line ends with the local moment (μB).
Fractional positions:
Se 0.000 0.500 0.000  -0.02
Se 0.500 0.000 0.000  -0.02
Sc 0.000 0.000 0.000  0.02
As 0.000 0.000 0.500  -0.17
P 0.500 0.500 0.500  0.58



Entry 2:
DFT (PBE-GGA) results for a relaxed Al2InCl crystal.

Summary:
total energy = -3.17 eV/atom
density = 3.82 g/cm³
total magnetization = 0.00 μB/f.u.
V = 89 Å³ per cell

Cell: 5.095 3.159 5.748 Å, 73.66 90.00 90.00°
Fractional positions:
Al 0.000 0.739 0.154
Al 0.500 0.255 0.118
In 0.500 0.984 0.651
Cl 0.000 0.522 0.577



Entry 3:
DFT (PBE-GGA) results for a relaxed PmYAgHg crystal.

Summary:
total energy = -3.99 eV/atom
density = 8.68 g/cm³
total magnetization = 0.00 μB/f.u.
V = 104 Å³ per cell

Cell: 5.275 5.275 5.275 Å, 60.00 60.00 60.00°
Fractional positions:
Pm 0.750 0.750 0.750
Ag 0.500 0.500 0.500
Y 0.250 0.250 0.250
Hg 0.000 0.000 0.000



Entry 4:
DFT (PBE-GGA) results for a relaxed Ag2SbAu crystal.

Summary:
total energy = -3.22 eV/atom
density = 11.07 g/cm³
total magnetization = 0.00 μB/f.u.
V = 80 Å³ per cell

Cell: 4.121 3.301 6.741 Å, 60.96 90.00 90.00°
Fractional positions:
Sb 0.500 0.750 0.750
Au 0.500 0.250 0.250
Ag 0.000 0.988 0.010
Ag 0.000 0.512 0.490



Entry 5:
DFT (PBE-GGA) results for a relaxed Cd3Pt crystal.

Summary:
total energy = -2.21 eV/atom
density = 6.05 g/cm³
total magnetization = 0.00 μB/f.u.
V = 146 Å³ per cell

Cell: 5.267 5.267 5.267 Å, 90.00 90.00 90.00°
Fractional positions:
Cd 0.000 0.500 0.000
Cd 0.000 0.000 0.500
Pt 0.000 0.000 0.000
Cd 0.500 0.000 0.000



Entry 6:
DFT (PBE-GGA) results for a relaxed PuCo3P2 crystal.

Summary:
total energy = -8.26 eV/atom
density = 9.46 g/cm³
total magnetization = 4.98 μB/f.u.
V = 170 Å³ per cell

Cell: 3.547 7.346 7.344 Å, 67.86 76.03 76.03°
Each line ends with the local moment (μB).
Fractional positions:
Co 0.333 0.502 0.831  -0.17
P 0.500 0.797 0.203  -0.04
Co 0.667 0.498 0.169  -0.17
Pu 0.874 0.126 0.126  5.04
Co 0.333 0.831 0.503  -0.17
P 0.500 0.203 0.797  -0.04
P 0.161 0.339 0.338  -0.01
Co 0.667 0.169 0.497  -0.17
P 0.839 0.661 0.662  -0.01
Pu 0.126 0.874 0.874  5.04
Co 0.000 0.652 0.348  0.13
Co 0.000 0.348 0.652  0.13



Entry 7:
DFT (PBE-GGA) results for a relaxed MgFeHgSb2 crystal.

Summary:
total energy = -2.64 eV/atom
density = 5.58 g/cm³
total magnetization = 3.43 μB/f.u.
V = 156 Å³ per cell

Cell: 5.573 5.027 5.573 Å, 90.00 90.00 90.00°
Each line ends with the local moment (μB).
Fractional positions:
Mg 0.000 0.500 0.000  0.01
Sb 0.000 0.000 0.500  -0.02
Sb 0.500 0.000 0.000  -0.04
Fe 0.500 0.500 0.500  3.31
Hg 0.000 0.000 0.000  0.01



Entry 8:
DFT (PBE-GGA) results for a relaxed MnAg2Te crystal.

Summary:
total energy = -4.17 eV/atom
density = 7.74 g/cm³
total magnetization = 3.47 μB/f.u.
V = 171 Å³ per cell

Cell: 7.917 7.917 6.227 Å, 50.53 50.53 90.00°
Each line ends with the local moment (μB).
Fractional positions:
Te 0.000 0.000 0.000  -0.10
Ag 0.613 0.125 0.250  -0.04
Mn 0.250 0.750 0.500  3.71
Ag 0.137 0.625 0.250  -0.05
Ag 0.375 0.387 0.750  -0.05
Ag 0.875 0.863 0.750  -0.05
Te 0.750 0.250 0.500  -0.10
Mn 0.500 0.500 0.000  3.71



Entry 9:
DFT (PBE-GGA) results for a relaxed PmLuNiRu crystal.

Summary:
total energy = -6.43 eV/atom
density = 10.11 g/cm³
total magnetization = 0.00 μB/f.u.
V = 79 Å³ per cell

Cell: 4.812 4.812 4.812 Å, 60.00 60.00 60.00°
Fractional positions:
Ni 0.500 0.500 0.500
Pm 0.250 0.250 0.250
Lu 0.750 0.750 0.750
Ru 0.000 0.000 0.000



Entry 10:
DFT (PBE-GGA) results for a relaxed Tl2Co2Cl7 crystal.

Summary:
total energy = -3.62 eV/atom
density = 3.35 g/cm³
total magnetization = 7.00 μB/f.u.
V = 769 Å³ per cell

Cell: 15.427 6.352 7.894 Å, 83.84 90.00 90.00°
Each line ends with the local moment (μB).
Fractional positions:
Cl 0.199 0.116 0.259  0.17
Cl 0.699 0.884 0.241  0.17
Co 0.609 0.138 0.145  2.59
Cl 0.301 0.116 0.759  0.17
Cl 0.000 0.000 0.500  0.20
Cl 0.824 0.378 0.471  0.16
Cl 0.801 0.884 0.741  0.17
Co 0.891 0.138 0.645  2.59
Tl 0.849 0.604 0.084  0.03
Tl 0.349 0.396 0.416  0.03
Cl 0.052 0.724 0.135  0.16
Cl 0.948 0.276 0.865  0.16
Co 0.391 0.862 0.855  2.59
Tl 0.151 0.396 0.916  0.03
Cl 0.500 0.000 0.000  0.20
Cl 0.448 0.724 0.635  0.16
Co 0.109 0.862 0.355  2.59
Cl 0.552 0.276 0.365  0.16
Cl 0.324 0.622 0.029  0.16
Cl 0.676 0.378 0.971  0.16
Tl 0.651 0.604 0.584  0.03
Cl 0.176 0.622 0.529  0.16



Entry 11:
DFT (PBE-GGA) results for a relaxed MgIr2Br crystal.

Summary:
total energy = -4.73 eV/atom
density = 12.14 g/cm³
total magnetization = 0.00 μB/f.u.
V = 67 Å³ per cell

Cell: 2.931 2.931 9.047 Å, 90.00 90.00 120.66°
Fractional positions:
Br 0.500 0.500 0.750
Mg 0.500 0.500 0.250
Ir 0.000 0.000 0.494
Ir 0.000 0.000 0.006



Entry 12:
DFT (PBE-GGA) results for a relaxed DyHo2ErTm6 crystal.

Summary:
total energy = -4.39 eV/atom
density = 9.05 g/cm³
total magnetization = 0.00 μB/f.u.
V = 614 Å³ per cell

Cell: 9.408 8.635 8.635 Å, 117.93 93.96 93.96°
Fractional positions:
Tm 0.881 0.290 0.504
Tm 0.943 0.874 0.250
Er 0.250 0.409 0.591
Tm 0.443 0.250 0.874
Tm 0.557 0.750 0.126
Dy 0.250 0.977 0.023
Er 0.750 0.591 0.409
Tm 0.184 0.571 0.020
Ho 0.455 0.804 0.698
Ho 0.545 0.196 0.302
Tm 0.316 0.980 0.429
Dy 0.750 0.023 0.977
Tm 0.057 0.126 0.750
Ho 0.955 0.698 0.804
Tm 0.816 0.429 0.980
Tm 0.381 0.504 0.290
Tm 0.619 0.496 0.710
Tm 0.119 0.710 0.496
Tm 0.684 0.020 0.571
Ho 0.045 0.302 0.196



Entry 13:
DFT (PBE-GGA) results for a relaxed Er2B6Os crystal.

Summary:
total energy = -7.04 eV/atom
density = 9.13 g/cm³
total magnetization = 0.00 μB/f.u.
V = 107 Å³ per cell

Cell: 3.461 5.323 6.632 Å, 113.66 105.12 90.00°
Fractional positions:
Er 0.161 0.161 0.322
B 0.379 0.529 0.758
B 0.500 0.832 0.000
B 0.500 0.168 0.000
Os 0.000 0.500 0.000
B 0.379 0.230 0.758
Er 0.839 0.839 0.678
B 0.621 0.471 0.242
B 0.621 0.770 0.242



Entry 14:
DFT (PBE-GGA) results for a relaxed SbIrPt2 crystal.

Summary:
total energy = -6.19 eV/atom
density = 17.07 g/cm³
total magnetization = 0.00 μB/f.u.
V = 68 Å³ per cell

Cell: 3.990 3.030 5.993 Å, 70.94 90.00 90.00°
Fractional positions:
Pt 0.000 0.045 0.004
Sb 0.000 0.357 0.531
Pt 0.500 0.379 0.231
Ir 0.500 0.719 0.734



Entry 15:
DFT (PBE-GGA) results for a relaxed SrTeMo2 crystal.

Summary:
total energy = -6.49 eV/atom
density = 6.34 g/cm³
total magnetization = 0.00 μB/f.u.
V = 107 Å³ per cell

Cell: 4.373 4.373 6.918 Å, 71.57 71.57 60.00°
Fractional positions:
Sr 0.492 0.492 0.525
Mo 0.697 0.697 0.908
Mo 0.028 0.028 0.916
Te 0.283 0.283 0.152



Entry 16:
DFT (PBE-GGA) results for a relaxed SrMoIr crystal.

Summary:
total energy = -6.84 eV/atom
density = 9.17 g/cm³
total magnetization = 0.00 μB/f.u.
V = 68 Å³ per cell

Cell: 6.503 6.503 3.353 Å, 75.06 75.06 29.88°
Fractional positions:
Mo 0.378 0.378 0.622
Sr 0.663 0.663 0.337
Ir 0.958 0.958 0.042



Entry 17:
DFT (PBE-GGA) results for a relaxed HfSc3Sb crystal.

Summary:
total energy = -6.14 eV/atom
density = 4.90 g/cm³
total magnetization = 3.10 μB/f.u.
V = 148 Å³ per cell

Cell: 5.285 5.285 5.285 Å, 90.00 90.00 90.00°
Each line ends with the local moment (μB).
Fractional positions:
Sc 0.000 0.000 0.500  0.38
Sc 0.500 0.000 0.000  0.28
Sc 0.000 0.500 0.000  0.30
Sb 0.000 0.000 0.000  0.02
Hf 0.500 0.500 0.500  0.75



Entry 18:
DFT (PBE-GGA) results for a relaxed Ce4Br2Cl5 crystal.

Summary:
total energy = -5.03 eV/atom
density = 4.51 g/cm³
total magnetization = 7.68 μB/f.u.
V = 330 Å³ per cell

Cell: 3.765 7.661 11.876 Å, 77.81 99.12 90.00°
Each line ends with the local moment (μB).
Fractional positions:
Cl 0.136 0.845 0.272  -0.01
Cl 0.221 0.286 0.443  0.00
Ce 0.966 0.295 0.932  1.35
Cl 0.779 0.714 0.557  0.00
Br 0.571 0.378 0.143  -0.01
Ce 0.323 0.436 0.645  1.36
Ce 0.677 0.564 0.355  1.36
Ce 0.034 0.705 0.068  1.35
Br 0.429 0.622 0.857  -0.01
Cl 0.864 0.155 0.728  -0.01
Cl 0.500 0.000 0.000  -0.01



Entry 19:
DFT (PBE-GGA) results for a relaxed KSnTe2 crystal.

Summary:
total energy = -3.38 eV/atom
density = 4.36 g/cm³
total magnetization = 0.00 μB/f.u.
V = 629 Å³ per cell

Cell: 5.478 8.790 13.068 Å, 90.00 90.00 90.00°
Fractional positions:
K 0.750 0.165 0.159
Sn 0.750 0.436 0.894
Te 0.250 0.904 0.208
Sn 0.250 0.064 0.394
K 0.250 0.835 0.841
Sn 0.750 0.936 0.606
Te 0.250 0.818 0.551
Te 0.750 0.682 0.051
Te 0.250 0.318 0.949
K 0.750 0.665 0.341
Te 0.750 0.596 0.708
Te 0.250 0.404 0.292
K 0.250 0.335 0.659
Te 0.750 0.182 0.449
Te 0.750 0.096 0.792
Sn 0.250 0.564 0.106



Entry 20:
DFT (PBE-GGA) results for a relaxed KTl4Pd2Pt crystal.

Summary:
total energy = -3.48 eV/atom
density = 10.33 g/cm³
total magnetization = 0.00 μB/f.u.
V = 203 Å³ per cell

Cell: 4.681 4.681 11.044 Å, 77.76 77.76 60.00°
Fractional positions:
Tl 0.868 0.868 0.397
Tl 0.404 0.404 0.789
Pt 0.500 0.500 0.500
Tl 0.596 0.596 0.211
Tl 0.132 0.132 0.603
Pd 0.226 0.226 0.321
Pd 0.774 0.774 0.679
K 0.000 0.000 0.000